A plane-wave DFT calculation with PBE+U was carried out for crystalline FeTc2PtO at its relaxed geometry.

As for the crystal system: tetragonal. The value obtained for the electronic total energy is -27.619 eV per cell. The value obtained for the calculated density is 6.7 g/cm3. The density of states at the Fermi level comes out at 5.82 states/eV/cell.

a = 4.865 Å, b = 4.865 Å, c = 4.874 Å
α = 90.00°, β = 90.00°, γ = 90.00°
Positions (direct):
Fe (0.000, 0.000, 0.000)
Tc (0.000, 0.500, 0.500)
Tc (0.500, 0.000, 0.500)
Pt (0.000, 0.000, 0.500)
O (0.500, 0.500, 0.000)